# DyTmCu2Sn2, relaxed, DFT GGA-PBE
# Total energy ... -4.68 eV per atom
# Density ... 9.106 g cm⁻³
data_DyTmCu2Sn2
_space_group_name_H-M_alt 'P 3 m 1'
_space_group_IT_number 156
_cell_length_a 4.5209
_cell_length_b 4.5209
_cell_length_c 7.1701
_cell_angle_alpha 90.00
_cell_angle_beta 90.00
_cell_angle_gamma 120.00
loop_
_space_group_symop_operation_xyz
'x,y,z'
'-y,x-y,z'
'-x+y,-x,z'
'-y,-x,z'
'-x+y,y,z'
'x,x-y,z'
loop_
_atom_site_label
_atom_site_type_symbol
_atom_site_fract_x
_atom_site_fract_y
_atom_site_fract_z
_atom_site_occupancy
Dy1 Dy 0.0000 0.0000 0.0000 1
Tm1 Tm 0.0000 0.0000 0.4997 1
Cu1 Cu 0.3333 0.6667 0.3232 1
Cu2 Cu 0.6667 0.3333 0.8162 1
Sn1 Sn 0.3333 0.6667 0.7273 1
Sn2 Sn 0.6667 0.3333 0.2318 1